(1)
LiLaCl after structural relaxation. Source: the Alexandria database, functional PBE.

a b c (Å): 7.8845 7.4697 3.5912
angles (deg): 83.01 70.11 26.88
Element x y z (fractional)
Cl 0.9812 0.9812 0.0188
La 0.6488 0.6488 0.3512
Li 0.3699 0.3699 0.6301

Polymorph energy (0 for the lowest one) (meV per atom): 51
SG: Fmm2
ΔE_f (raw) (eV/atom): -0.8822

=====

(2)
Cs2SnCl2F2 after structural relaxation. Source: the Alexandria database, functional PBE.

a b c (Å): 4.8875 4.8875 9.4940
angles (deg): 104.92 104.92 90.00
Element x y z (fractional)
Cs 0.3656 0.3656 0.7312
Cs 0.6344 0.6344 0.2688
Sn 0.0000 0.0000 0.0000
Cl 0.1636 0.1636 0.3271
Cl 0.8364 0.8364 0.6729
F 0.0000 0.5000 0.0000
F 0.5000 0.0000 0.0000

SG: I4/mmm
ΔE_f (raw) (eV/atom): -2.0911

=====

(3)
NaTcPt after structural relaxation. Source: the Alexandria database, functional PBE.

a b c (Å): 5.5925 5.5926 4.3184
angles (deg): 112.74 67.27 100.28
Element x y z (fractional)
Na 0.6662 0.1739 0.0510
Na 0.9850 0.4921 0.5506
Tc 0.3912 0.5984 0.9005
Tc 0.0911 0.8985 0.2010
Pt 0.6107 0.7531 0.3683
Pt 0.2456 0.1180 0.7333

Polymorph energy (0 for the lowest one) (meV per atom): 125
SG: Imm2
Formation energy (eV/atom): 0.17

=====

(4)
ZnHgP2O after structural relaxation. Source: the Alexandria database, functional PBE.

a b c (Å): 4.3137 4.3526 4.3137
angles (deg): 90.00 90.00 90.00
Element x y z (fractional)
P 0.0000 0.0000 0.5000
P 0.5000 0.0000 0.0000
Zn 0.0000 0.5000 0.0000
Hg 0.5000 0.5000 0.5000
O 0.0000 0.0000 0.0000

Polymorph energy (0 for the lowest one) (meV per atom): 0
SG: P4/mmm
ΔE_f (raw) (eV/atom): 0.3850